A plane-wave DFT calculation with GGA-PBE was carried out for a relaxed structure of K5NaHg.

Unit cell a=6.147 b=6.147 c=10.487 alpha=90.00 beta=90.00 gamma=90.00
Space group P4/mmm (No. 123)
Asymmetric unit:
K1 0.000 0.000 0.000 (multiplicity 1)
K2 0.000 0.500 0.304 (multiplicity 4)
Na1 0.500 0.500 0.000 (multiplicity 1)
Hg1 0.500 0.500 0.500 (multiplicity 1)

E_form ... -0.0425 eV per atom
Calculated density ... 1756 kg/m3
Uncorrected energy ... -1.06 eV per atom
Spin magnetization ... 0.00 μB per formula unit
D(E_F) ... 0.81 states/eV/atom
Energy above the most stable polymorph in this dataset ... 0.09 eV per formula unit